# FeSi2Cl

A relaxed structure of FeSi2Cl (PBE, Alexandria via LeMat-Bulk). Values from VASP.

```
&SYSTEM
  ibrav = 0, nat = 4, ntyp = 3
/
ATOMIC_SPECIES
Fe 55.84 Fe.upf
Si 28.09 Si.upf
Cl 35.45 Cl.upf
CELL_PARAMETERS angstrom
0.000 3.123 3.123
3.123 0.000 3.123
3.123 3.123 0.000
ATOMIC_POSITIONS crystal
Fe 0.000 0.000 0.000
Si 0.250 0.250 0.250
Si 0.500 0.500 0.500
Cl 0.750 0.750 0.750
```

## Properties
The value obtained for the electronic total energy is -4.63 eV per atom. The offset from the most stable computed form comes out at 562 meV per atom. Its raw formation energy is 659 meV per atom. Its crystal system is cubic. The spin magnetization is 2.9 μB/f.u.


# KNaAcPb

A relaxed structure of KNaAcPb (PBE, Alexandria via LeMat-Bulk). Values from VASP.

```
&SYSTEM
  ibrav = 0, nat = 4, ntyp = 4
/
ATOMIC_SPECIES
K 39.10 K.upf
Na 22.99 Na.upf
Ac 227.00 Ac.upf
Pb 207.20 Pb.upf
CELL_PARAMETERS angstrom
0.000 4.205 4.205
4.205 0.000 4.205
4.205 4.205 0.000
ATOMIC_POSITIONS crystal
K 0.000 0.000 0.000
Na 0.750 0.750 0.750
Ac 0.500 0.500 0.500
Pb 0.250 0.250 0.250
```

## Properties
The value obtained for the electronic total energy is -2.66 eV per atom. The value obtained for the energy of formation is -0.41 eV/f.u. Its crystal system is cubic. The spin magnetization is 0.0 μB/f.u.


# Sr3Mn

A relaxed structure of Sr3Mn (PBE, Alexandria via LeMat-Bulk). Values from VASP.

```
&SYSTEM
  ibrav = 0, nat = 4, ntyp = 2
/
ATOMIC_SPECIES
Sr 87.62 Sr.upf
Mn 54.94 Mn.upf
CELL_PARAMETERS angstrom
5.518 0.000 0.000
0.000 5.518 0.000
0.000 0.000 5.500
ATOMIC_POSITIONS crystal
Sr 0.000 0.000 0.000
Sr 0.000 0.500 0.500
Sr 0.500 0.000 0.500
Mn 0.500 0.500 0.000
```

## Properties
The value obtained for the electronic total energy is -3.10 eV per atom. The value obtained for the energy of formation is 1.80 eV/f.u. Its crystal system is tetragonal. The spin magnetization is 4.7 μB/f.u.


# LaNdTl2S4

A relaxed structure of LaNdTl2S4 (PBE, Alexandria via LeMat-Bulk). Values from VASP.

```
&SYSTEM
  ibrav = 0, nat = 8, ntyp = 4
/
ATOMIC_SPECIES
La 138.91 La.upf
Nd 144.24 Nd.upf
Tl 204.38 Tl.upf
S 32.06 S.upf
CELL_PARAMETERS angstrom
7.334 0.000 0.000
0.000 4.234 0.000
-2.441 0.000 7.467
ATOMIC_POSITIONS crystal
La 0.000 0.000 0.000
Nd 0.500 0.500 0.000
Tl 0.000 0.500 0.500
Tl 0.500 0.000 0.500
S 0.238 0.500 0.205
S 0.269 0.000 0.796
S 0.731 0.000 0.204
S 0.762 0.500 0.795
```

## Properties
The value obtained for the electronic total energy is -5.36 eV per atom. Its raw formation energy is -1490 meV per atom. Its crystal system is monoclinic. The spin magnetization is 0.0 μB/f.u.


# LaAsRu2

A relaxed structure of LaAsRu2 (PBE, Alexandria via LeMat-Bulk). Values from VASP.

```
&SYSTEM
  ibrav = 0, nat = 4, ntyp = 3
/
ATOMIC_SPECIES
La 138.91 La.upf
As 74.92 As.upf
Ru 101.07 Ru.upf
CELL_PARAMETERS angstrom
1.540 0.889 9.125
-1.540 0.889 9.125
0.000 -1.779 9.125
ATOMIC_POSITIONS crystal
La 0.000 0.000 0.000
As 0.230 0.230 0.230
Ru 0.501 0.501 0.501
Ru 0.757 0.757 0.757
```

## Properties
The value obtained for the electronic total energy is -6.73 eV per atom. The value obtained for the energy of formation is 1.21 eV/f.u. Its crystal system is trigonal. The spin magnetization is 1.4 μB/f.u.


# ZrMnInTc

A relaxed structure of ZrMnInTc (PBE, Alexandria via LeMat-Bulk). Values from VASP.

```
&SYSTEM
  ibrav = 0, nat = 4, ntyp = 4
/
ATOMIC_SPECIES
Zr 91.22 Zr.upf
Mn 54.94 Mn.upf
In 114.82 In.upf
Tc 98.00 Tc.upf
CELL_PARAMETERS angstrom
0.000 3.269 3.269
3.269 0.000 3.269
3.269 3.269 0.000
ATOMIC_POSITIONS crystal
Zr 0.000 0.000 0.000
Mn 0.750 0.750 0.750
In 0.500 0.500 0.500
Tc 0.250 0.250 0.250
```

## Properties
The value obtained for the electronic total energy is -7.76 eV per atom. The value obtained for the energy of formation is -0.21 eV/f.u. Its crystal system is cubic. The spin magnetization is 3.0 μB/f.u.


# Li2DyZn2Au2

A relaxed structure of Li2DyZn2Au2 (PBE, Alexandria via LeMat-Bulk). Values from VASP.

```
&SYSTEM
  ibrav = 0, nat = 7, ntyp = 4
/
ATOMIC_SPECIES
Li 6.94 Li.upf
Dy 162.50 Dy.upf
Zn 65.41 Zn.upf
Au 196.97 Au.upf
CELL_PARAMETERS angstrom
3.923 -2.254 0.000
3.923 2.254 0.000
-2.622 0.000 7.313
ATOMIC_POSITIONS crystal
Li 0.142 0.142 0.424
Li 0.858 0.858 0.576
Dy 0.000 0.000 0.000
Zn 0.423 0.423 0.266
Zn 0.577 0.577 0.734
Au 0.259 0.259 0.779
Au 0.741 0.741 0.221
```

## Properties
The value obtained for the electronic total energy is -3.02 eV per atom. The value obtained for the energy of formation is -3.59 eV/f.u. Its crystal system is monoclinic. The spin magnetization is 0.0 μB/f.u.


# HfMnMo2

A relaxed structure of HfMnMo2 (PBE, Alexandria via LeMat-Bulk). Values from VASP.

```
&SYSTEM
  ibrav = 0, nat = 4, ntyp = 3
/
ATOMIC_SPECIES
Hf 178.49 Hf.upf
Mn 54.94 Mn.upf
Mo 95.94 Mo.upf
CELL_PARAMETERS angstrom
0.000 3.146 3.146
3.146 0.000 3.146
3.146 3.146 0.000
ATOMIC_POSITIONS crystal
Hf 0.000 0.000 0.000
Mn 0.500 0.500 0.500
Mo 0.250 0.250 0.250
Mo 0.750 0.750 0.750
```

## Properties
The value obtained for the electronic total energy is -10.07 eV per atom. The offset from the most stable computed form comes out at 0 meV per atom. The value obtained for the energy of formation is 0.49 eV/f.u. Its crystal system is cubic. The spin magnetization is 0.0 μB/f.u.


# Rb8Hg6O

A relaxed structure of Rb8Hg6O (PBE, Alexandria via LeMat-Bulk). Values from VASP.

```
&SYSTEM
  ibrav = 0, nat = 15, ntyp = 3
/
ATOMIC_SPECIES
Rb 85.47 Rb.upf
Hg 200.59 Hg.upf
O 16.00 O.upf
CELL_PARAMETERS angstrom
5.550 3.204 6.574
-5.550 3.204 6.574
0.000 -6.408 6.574
ATOMIC_POSITIONS crystal
Rb 0.112 0.112 0.112
Rb 0.209 0.620 0.425
Rb 0.380 0.575 0.791
Rb 0.425 0.209 0.620
Rb 0.575 0.791 0.380
Rb 0.620 0.425 0.209
Rb 0.791 0.380 0.575
Rb 0.888 0.888 0.888
Hg 0.035 0.517 0.148
Hg 0.148 0.035 0.517
Hg 0.483 0.852 0.965
Hg 0.517 0.148 0.035
Hg 0.852 0.965 0.483
Hg 0.965 0.483 0.852
O 0.500 0.500 0.500
```

## Properties
The value obtained for the electronic total energy is -1.30 eV per atom. Its raw formation energy is -334 meV per atom. Its crystal system is trigonal. The spin magnetization is 0.0 μB/f.u.


# CeYSi4

A relaxed structure of CeYSi4 (PBE, Alexandria via LeMat-Bulk). Values from VASP.

```
&SYSTEM
  ibrav = 0, nat = 6, ntyp = 3
/
ATOMIC_SPECIES
Ce 140.12 Ce.upf
Y 88.91 Y.upf
Si 28.09 Si.upf
CELL_PARAMETERS angstrom
-2.016 2.016 7.175
2.016 -2.016 7.175
2.016 2.016 -7.175
ATOMIC_POSITIONS crystal
Ce 0.000 0.000 0.000
Y 0.250 0.750 0.500
Si 0.416 0.416 0.000
Si 0.584 0.584 0.000
Si 0.668 0.168 0.500
Si 0.832 0.332 0.500
```

## Properties
The value obtained for the electronic total energy is -6.29 eV per atom. Its raw formation energy is -611 meV per atom. Its crystal system is tetragonal. The spin magnetization is 0.0 μB/f.u.


# U2GaGe2Ru5

A relaxed structure of U2GaGe2Ru5 (PBE, Alexandria via LeMat-Bulk). Values from VASP.

```
&SYSTEM
  ibrav = 0, nat = 20, ntyp = 4
/
ATOMIC_SPECIES
U 238.03 U.upf
Ga 69.72 Ga.upf
Ge 72.64 Ge.upf
Ru 101.07 Ru.upf
CELL_PARAMETERS angstrom
9.779 0.000 0.000
0.000 9.779 0.000
0.000 0.000 3.497
ATOMIC_POSITIONS crystal
U 0.174 0.326 0.000
U 0.326 0.826 0.000
U 0.674 0.174 0.000
U 0.826 0.674 0.000
Ga 0.000 0.000 0.000
Ga 0.500 0.500 0.000
Ge 0.125 0.625 0.000
Ge 0.375 0.125 0.000
Ge 0.625 0.875 0.000
Ge 0.875 0.375 0.000
Ru 0.000 0.500 0.500
Ru 0.081 0.800 0.500
Ru 0.200 0.081 0.500
Ru 0.300 0.581 0.500
Ru 0.419 0.300 0.500
Ru 0.500 0.000 0.500
Ru 0.581 0.700 0.500
Ru 0.700 0.419 0.500
Ru 0.800 0.919 0.500
Ru 0.919 0.200 0.500
```

## Properties
The value obtained for the electronic total energy is -8.38 eV per atom. The value obtained for the energy of formation is -2.59 eV/f.u. Its crystal system is tetragonal. The spin magnetization is 2.3 μB/f.u.


# LiSiAg2S4

A relaxed structure of LiSiAg2S4 (PBE, Alexandria via LeMat-Bulk). Values from VASP.

```
&SYSTEM
  ibrav = 0, nat = 16, ntyp = 4
/
ATOMIC_SPECIES
Li 6.94 Li.upf
Si 28.09 Si.upf
Ag 107.87 Ag.upf
S 32.06 S.upf
CELL_PARAMETERS angstrom
4.971 -5.461 0.000
4.971 5.461 0.000
-4.633 0.000 5.185
ATOMIC_POSITIONS crystal
Li 0.000 0.500 0.000
Li 0.500 0.000 0.500
Si 0.000 0.000 0.000
Si 0.000 0.000 0.500
Ag 0.000 0.500 0.500
Ag 0.500 0.000 0.000
Ag 0.500 0.500 0.000
Ag 0.500 0.500 0.500
S 0.203 0.238 0.951
S 0.206 0.786 0.990
S 0.214 0.794 0.510
S 0.238 0.203 0.451
S 0.762 0.797 0.549
S 0.786 0.206 0.490
S 0.794 0.214 0.010
S 0.797 0.762 0.049
```

## Properties
The value obtained for the electronic total energy is -4.03 eV per atom. Its raw formation energy is -338 meV per atom. Its crystal system is monoclinic. The spin magnetization is 0.0 μB/f.u.


Repeat the tenth record exactly.
# CeYSi4

A relaxed structure of CeYSi4 (PBE, Alexandria via LeMat-Bulk). Values from VASP.

```
&SYSTEM
  ibrav = 0, nat = 6, ntyp = 3
/
ATOMIC_SPECIES
Ce 140.12 Ce.upf
Y 88.91 Y.upf
Si 28.09 Si.upf
CELL_PARAMETERS angstrom
-2.016 2.016 7.175
2.016 -2.016 7.175
2.016 2.016 -7.175
ATOMIC_POSITIONS crystal
Ce 0.000 0.000 0.000
Y 0.250 0.750 0.500
Si 0.416 0.416 0.000
Si 0.584 0.584 0.000
Si 0.668 0.168 0.500
Si 0.832 0.332 0.500
```

## Properties
The value obtained for the electronic total energy is -6.29 eV per atom. Its raw formation energy is -611 meV per atom. Its crystal system is tetragonal. The spin magnetization is 0.0 μB/f.u.